No. 1
Density functional theory data (PBE) for crystalline TbSmY5 at its relaxed geometry.

formation energy from the elements: 0.204 eV/atom
total magnetic moment: 0.0 Bohr magnetons per cell
calculated volume: 32.99 Å³/atom
polymorph energy (0 for the lowest one): 0 meV/atom
space-group type: No. 15

Cell: 11.8437 11.8437 6.5930 Å, 93.89 93.89 148.91°
With the nearest neighbours (Å) after each atom.
Element x y z (fractional)
Tb  0.1659  0.8341  0.7500  8 Y 3.29-3.46
Tb  0.8341  0.1659  0.2500  8 Y 3.29-3.46
Sm  0.4192  0.5808  0.7500  8 Y 3.32-3.55
Sm  0.5808  0.4192  0.2500  8 Y 3.32-3.55
Y  0.1443  0.8557  0.2500  2 Tb 3.33, 4 Y 3.35-3.48, 2 Sm 3.49
Y  0.1829  0.2710  0.1414  1 Tb 3.29, 2 Sm 3.32-3.55, 4 Y 3.40-3.62
Y  0.2665  0.6788  0.0003  4 Y 3.22-3.46, 1 Sm 3.33, 2 Tb 3.38-3.46
Y  0.2710  0.1829  0.6414  1 Tb 3.29, 2 Sm 3.32-3.55, 4 Y 3.40-3.62
Y  0.3212  0.7335  0.4997  4 Y 3.22-3.46, 1 Sm 3.33, 2 Tb 3.38-3.46
Y  0.6788  0.2665  0.5003  4 Y 3.22-3.46, 1 Sm 3.33, 2 Tb 3.38-3.46
Y  0.7290  0.8171  0.3586  1 Tb 3.29, 2 Sm 3.32-3.55, 4 Y 3.40-3.62
Y  0.7335  0.3212  0.9997  4 Y 3.22-3.46, 1 Sm 3.33, 2 Tb 3.38-3.46
Y  0.8171  0.7290  0.8586  1 Tb 3.29, 2 Sm 3.32-3.55, 4 Y 3.40-3.62
Y  0.8557  0.1443  0.7500  2 Tb 3.33, 4 Y 3.35-3.48, 2 Sm 3.49

=====

No. 2
Density functional theory data (PBE) for crystalline Tb3SmY6 at its relaxed geometry.

formation energy from the elements: 0.114 eV/atom
total magnetic moment: 0.0 Bohr magnetons per cell
calculated volume: 32.65 Å³/atom
polymorph energy (0 for the lowest one): 0 meV/atom
space-group type: No. 36

Cell: 11.5881 11.5881 6.4172 Å, 90.00 90.00 130.73°
With the nearest neighbours (Å) after each atom.
Element x y z (fractional)
Tb  0.0808  0.9192  0.5000  3 Y 3.16-3.44, 2 Tb 3.42
Tb  0.2035  0.4588  0.1098  2 Tb 3.26-3.42, 5 Y 3.28-3.58, 1 Sm 3.52
Tb  0.4588  0.2035  0.6098  2 Tb 3.26-3.42, 5 Y 3.28-3.58, 1 Sm 3.52
Tb  0.5412  0.7965  0.1098  2 Tb 3.26-3.42, 5 Y 3.28-3.58, 1 Sm 3.52
Tb  0.7965  0.5412  0.6098  2 Tb 3.26-3.42, 5 Y 3.28-3.58, 1 Sm 3.52
Tb  0.9192  0.0808  0.0000  3 Y 3.16-3.44, 2 Tb 3.42
Sm  0.3386  0.6614  0.5830  6 Y 3.28-3.66, 2 Tb 3.52
Sm  0.6614  0.3386  0.0830  6 Y 3.28-3.66, 2 Tb 3.52
Y  0.0423  0.6056  0.2668  2 Tb 3.28-3.40, 3 Y 3.40-3.60, 2 Sm 3.55-3.66
Y  0.1210  0.2406  0.5253  3 Tb 3.36-3.54, 4 Y 3.49-3.68
Y  0.1984  0.8016  0.8054  1 Tb 3.16, 1 Sm 3.28, 2 Y 3.44
Y  0.2406  0.1210  0.0253  3 Tb 3.36-3.54, 4 Y 3.49-3.68
Y  0.3944  0.9577  0.2668  2 Tb 3.28-3.40, 3 Y 3.40-3.60, 2 Sm 3.55-3.66
Y  0.4854  0.5145  0.7812  4 Y 3.27-3.62, 1 Sm 3.35, 4 Tb 3.58
Y  0.5145  0.4854  0.2812  4 Y 3.27-3.62, 1 Sm 3.35, 4 Tb 3.58
Y  0.6056  0.0423  0.7668  2 Tb 3.28-3.40, 3 Y 3.40-3.60, 2 Sm 3.55-3.66
Y  0.7594  0.8790  0.5253  3 Tb 3.36-3.54, 4 Y 3.49-3.68
Y  0.8016  0.1984  0.3054  1 Tb 3.16, 1 Sm 3.28, 2 Y 3.44
Y  0.8790  0.7594  0.0253  3 Tb 3.36-3.54, 4 Y 3.49-3.68
Y  0.9577  0.3944  0.7668  2 Tb 3.28-3.40, 3 Y 3.40-3.60, 2 Sm 3.55-3.66

=====

Number 1: E -5.749 eV per atom. Number 2: E -5.626 eV per atom.